Record 1
Below is BaScNiS3 after structural relaxation, with properties calculated at the PBE level.

Lattice parameters (Å, degrees): 8.2919 3.8626 8.7759 90.00 108.17 90.00
Closest atoms and distances in Å follow each position.
Sites, in units of the cell vectors:
Ba: 0.2027 0.2500 0.2445  7 S 3.15-3.20, 1 Ni 3.43
Ba: 0.7973 0.7500 0.7555  7 S 3.15-3.20, 1 Ni 3.43
Sc: 0.3216 0.7500 0.8458  6 S 2.60-2.64
Sc: 0.6784 0.2500 0.1542  6 S 2.60-2.64
Ni: 0.0873 0.2500 0.5875  4 S 2.25-2.36
Ni: 0.9127 0.7500 0.4125  4 S 2.25-2.36
S: 0.1180 0.2500 0.8637  1 Ni 2.36, 2 Sc 2.60
S: 0.1991 0.7500 0.5348  3 Ni 2.25-2.28
S: 0.4631 0.7500 0.1596  3 Sc 2.64
S: 0.5369 0.2500 0.8404  3 Sc 2.64
S: 0.8009 0.2500 0.4652  3 Ni 2.25-2.28
S: 0.8820 0.7500 0.1363  1 Ni 2.36, 2 Sc 2.60

As for the magnetic moment: 0.00 Bohr magnetons per cell. The formation energy without anion corrections comes out at -9.417 eV per formula unit. Its crystal system is monoclinic. The calculation puts the theoretical density at 4.19 g/cm3. The calculation puts the total energy at -71.67 eV per cell.

Record 2
Below is Pm3Te after structural relaxation, with properties calculated at the PBE level.

Lattice parameters (Å, degrees): 6.2973 6.2973 6.2973 135.48 135.48 64.79
Closest atoms and distances in Å follow each position.
Sites, in units of the cell vectors:
Pm: 0.0000 0.0000 0.0000  4 Te 3.37, 8 Pm 3.57
Pm: 0.2500 0.7500 0.5000  8 Pm 3.37-3.57, 4 Te 3.57
Pm: 0.7500 0.2500 0.5000  8 Pm 3.37-3.57, 4 Te 3.57
Te: 0.5000 0.5000 0.0000  12 Pm 3.37-3.57

As for the magnetic moment: 0.00 Bohr magnetons per cell. The formation energy without anion corrections comes out at -1.877 eV per formula unit. Its crystal system is tetragonal. The calculation puts the theoretical density at 7.72 g/cm3. The energy above the most stable polymorph in this dataset comes out at 227.0 meV per atom. The calculation puts the total energy at -19.27 eV per cell.

Record 3
Below is Ce2RhN after structural relaxation, with properties calculated at the PBE level.

Lattice parameters (Å, degrees): 7.1249 7.1249 7.1249 29.29 29.29 29.29
Closest atoms and distances in Å follow each position.
Sites, in units of the cell vectors:
Ce: 0.2366 0.2366 0.2366  3 N 2.52
Ce: 0.7634 0.7634 0.7634  3 N 2.52
Rh: 0.0000 0.0000 0.0000  6 Ce 2.87
N: 0.5000 0.5000 0.5000  6 Ce 2.52

As for the magnetic moment: 0.00 Bohr magnetons per cell. The formation energy without anion corrections comes out at -3.774 eV per formula unit. Its crystal system is trigonal. The calculation puts the theoretical density at 8.61 g/cm3. The energy above the most stable polymorph in this dataset comes out at 5.2 meV per atom. The calculation puts the total energy at -31.32 eV per cell.